# 1
Al2FeRe | Alexandria | PBE | relaxed; final energy = -28.901 eV/cell; formation enthalpy at 0 K = -0.126 eV per atom; N(E_F) = 4.57 states/eV/cell; ΔE to the lowest computed polymorph = 1.21 kcal/mol of atoms; spin magnetization = 0.505 μB per atom; theoretical density = 9.123 g/cm3
1.0
0.000 2.998 2.998
2.998 0.000 2.998
2.998 2.998 0.000
Al Fe Re
2 1 1
Cartesian
1.499 1.499 1.499
4.497 4.497 4.497
0.000 0.000 0.000
2.998 2.998 2.998


# 2
Zr2NiAgH | Alexandria | PBE | relaxed; final energy = -30.027 eV/cell; N(E_F) = 3.46 states/eV/cell; spin magnetization = 0.000 μB per atom; theoretical density = 7.706 g/cm3
1.0
4.495 0.000 0.000
0.000 4.495 0.000
0.000 0.000 3.733
Zr Ni Ag H
2 1 1 1
Cartesian
0.000 2.247 0.000
2.247 0.000 0.000
0.000 0.000 1.866
2.247 2.247 1.866
0.000 0.000 0.000


# 3
PaReNiP2 | Alexandria | PBE | relaxed; final energy = -41.969 eV/cell; formation enthalpy at 0 K = -0.685 eV per atom; N(E_F) = 4.73 states/eV/cell; spin magnetization = 0.000 μB per atom; theoretical density = 11.550 g/cm3
1.0
-1.918 1.918 5.254
1.918 -1.918 5.254
1.918 1.918 -5.254
Pa Re Ni P
1 1 1 2
Cartesian
0.000 0.000 0.000
1.918 0.000 2.627
0.000 1.918 2.627
0.000 0.000 3.996
0.000 0.000 6.512